Below is crystalline Pm8PrBi6 at its relaxed geometry, with properties calculated at the PBE level.

Cell and atoms, written as CIF:
```
data_Pm8PrBi6
_space_group_name_H-M_alt 'R -3'
_space_group_IT_number 148
_space_group_name_Hall '-R 3'
_cell_length_a 8.3708
_cell_length_b 8.3708
_cell_length_c 26.0697
_cell_angle_alpha 90.00
_cell_angle_beta 90.00
_cell_angle_gamma 120.00
loop_
_atom_site_label
_atom_site_type_symbol
_atom_site_fract_x
_atom_site_fract_y
_atom_site_fract_z
Pm1 Pm 0.0000 0.0000 0.1666
Pm2 Pm 0.0010 0.6699 0.6224
Pr1 Pr 0.0000 0.0000 0.5000
Bi1 Bi 0.0007 0.6639 0.4325
```

Output
For the formation enthalpy at 0 K, the calculation gives -0.6002 eV/atom. The calculation puts the total magnetic moment at 0.00 μB/f.u.

---

Below is crystalline PmPrBi2 at its relaxed geometry, with properties calculated at the PBE level.

Cell and atoms, written as CIF:
```
data_PmPrBi2
_space_group_name_H-M_alt 'F m -3 m'
_space_group_IT_number 225
_space_group_name_Hall '-F 4 2 3'
_cell_length_a 7.974
_cell_length_b 7.974
_cell_length_c 7.974
_cell_angle_alpha 90.00
_cell_angle_beta 90.00
_cell_angle_gamma 90.00
loop_
_atom_site_label
_atom_site_type_symbol
_atom_site_fract_x
_atom_site_fract_y
_atom_site_fract_z
Pm1 Pm 0.000 0.000 0.000
Pr1 Pr 0.000 0.000 0.500
Bi1 Bi 0.250 0.250 0.250
```

Output
For the formation enthalpy at 0 K, the calculation gives -0.7000 eV/atom. The calculation puts the excess energy over the best structure of this formula in the dataset at 250 meV/atom. The calculation puts the total magnetic moment at 0.14 μB/f.u.

---

Below is crystalline PmPr2Bi at its relaxed geometry, with properties calculated at the PBE level.

Cell and atoms, written as CIF:
```
data_PmPr2Bi
_space_group_name_H-M_alt 'F m -3 m'
_space_group_IT_number 225
_space_group_name_Hall '-F 4 2 3'
_cell_length_a 8.020
_cell_length_b 8.020
_cell_length_c 8.020
_cell_angle_alpha 90.00
_cell_angle_beta 90.00
_cell_angle_gamma 90.00
loop_
_atom_site_label
_atom_site_type_symbol
_atom_site_fract_x
_atom_site_fract_y
_atom_site_fract_z
Pm1 Pm 0.000 0.000 0.000
Pr1 Pr 0.250 0.250 0.250
Bi1 Bi 0.000 0.000 0.500
```

Output
For the formation enthalpy at 0 K, the calculation gives -0.2427 eV/atom. The calculation puts the excess energy over the best structure of this formula in the dataset at 198 meV/atom. The calculation puts the total magnetic moment at 0.00 μB/f.u.